[1]
A plane-wave DFT calculation with PBE was carried out for LiBi3F after structural relaxation.

Computed properties:
Its uncorrected formation energy is -2.0 eV/f.u. Its total moment is 0.0 μB per formula unit. Its volume is 26.64 Å³/atom. The density of states at the Fermi level comes out at 2.91 states/eV/f.u. The value obtained for the raw total energy is -3.4767 eV/atom. The distance to the lowest polymorph of the same formula is 0.00 eV/f.u.

a b c (Å): 5.1069 5.1069 5.1069
angles (deg): 90.00 90.00 90.00
Closest atoms and distances in Å follow each position.
Space group Pm-3m (No. 221)
Inequivalent atoms, fractional coordinates:
1 Li 0.0000 0.0000 0.0000 (multiplicity 1)  12 Bi 3.61
2 Bi 0.0000 0.5000 0.5000 (multiplicity 3)  2 F 2.55
3 F 0.5000 0.5000 0.5000 (multiplicity 1)  6 Bi 2.55

[2]
A plane-wave DFT calculation with PBE was carried out for LiBi2F11 after structural relaxation.

Computed properties:
Its uncorrected formation energy is -27.0 eV/f.u. Its total moment is 0.0 μB per formula unit. Its volume is 15.68 Å³/atom. The value obtained for the raw total energy is -4.0934 eV/atom.

a b c (Å): 8.4609 9.8702 10.5113
angles (deg): 90.00 90.00 90.00
Closest atoms and distances in Å follow each position.
Space group Ibam (No. 72)
Inequivalent atoms, fractional coordinates:
1 Li 0.0000 0.0000 0.2500 (multiplicity 4)  4 F 1.99
2 Bi 0.1081 0.2961 0.0000 (multiplicity 8)  7 F 2.03-2.23
3 F 0.0000 0.5000 0.0000 (multiplicity 4)  2 Bi 2.21, 2 F 2.43
4 F 0.0736 0.1423 0.1292 (multiplicity 16)  1 Li 1.99, 1 Bi 2.06
5 F 0.1477 0.2886 0.5000 (multiplicity 8)  2 Bi 2.17-2.23
6 F 0.2032 0.3924 0.1521 (multiplicity 16)  1 Bi 2.03

[3]
A plane-wave DFT calculation with PBE was carried out for LiBi3F after structural relaxation.

Computed properties:
Its uncorrected formation energy is -0.5 eV/f.u. Its total moment is 0.0 μB per formula unit. Its volume is 26.13 Å³/atom. The density of states at the Fermi level comes out at 2.89 states/eV/f.u. The value obtained for the raw total energy is -3.1836 eV/atom. The distance to the lowest polymorph of the same formula is 1.47 eV/f.u.

a b c (Å): 5.0742 5.0742 5.0742
angles (deg): 90.00 90.00 90.00
Closest atoms and distances in Å follow each position.
Space group Pm-3m (No. 221)
Inequivalent atoms, fractional coordinates:
1 Li 0.0000 0.0000 0.0000 (multiplicity 1)  6 Bi 2.54
2 Bi 0.0000 0.0000 0.5000 (multiplicity 3)  2 Li 2.54
3 F 0.5000 0.5000 0.5000 (multiplicity 1)  12 Bi 3.59

[4]
A plane-wave DFT calculation with PBE was carried out for Li6BiF12 after structural relaxation.

Computed properties:
Its uncorrected formation energy is -41.3 eV/f.u. Its total moment is 3.0 μB per formula unit. Its volume is 10.35 Å³/atom. The density of states at the Fermi level comes out at 15.86 states/eV/f.u. The value obtained for the raw total energy is -4.1665 eV/atom.

a b c (Å): 7.3265 7.3265 7.3265
angles (deg): 90.00 90.00 90.00
Closest atoms and distances in Å follow each position.
Space group Im-3 (No. 204)
Inequivalent atoms, fractional coordinates:
1 Li 0.0000 0.1634 0.5000 (multiplicity 12)  6 F 1.90-2.13
2 Bi 0.0000 0.0000 0.0000 (multiplicity 2)  12 F 2.57
3 F 0.0000 0.3153 0.1536 (multiplicity 24)  3 Li 1.90-2.13

[5]
A plane-wave DFT calculation with PBE was carried out for LiBi2F7 after structural relaxation.

Computed properties:
Its uncorrected formation energy is -24.8 eV/f.u. Its total moment is 0.0 μB per formula unit. Its volume is 15.27 Å³/atom. The density of states at the Fermi level comes out at 0.00 states/eV/f.u. The value obtained for the raw total energy is -4.7600 eV/atom.

a b c (Å): 4.1254 4.1254 31.0740
angles (deg): 90.00 90.00 120.00
Closest atoms and distances in Å follow each position.
Space group R-3m (No. 166, hexagonal axes)
Inequivalent atoms, fractional coordinates:
1 Li 0.0000 0.0000 0.0000 (multiplicity 3)  2 F 2.18
2 Bi 0.0000 0.0000 0.4252 (multiplicity 6)  5 F 2.18-2.42
3 F 0.0000 0.0000 0.0700 (multiplicity 6)  1 Li 2.18
4 F 0.0000 0.0000 0.2282 (multiplicity 6)  3 Bi 2.42, 3 F 2.62
5 F 0.0000 0.0000 0.3552 (multiplicity 6)  1 Bi 2.18
6 F 0.0000 0.0000 0.5000 (multiplicity 3)  2 Bi 2.32

[6]
A plane-wave DFT calculation with PBE was carried out for LiBiF4 after structural relaxation.

Computed properties:
Its uncorrected formation energy is -15.9 eV/f.u. Its total moment is 0.0 μB per formula unit. Its volume is 14.95 Å³/atom. The density of states at the Fermi level comes out at 0.00 states/eV/f.u. The value obtained for the raw total energy is -4.8577 eV/atom. The distance to the lowest polymorph of the same formula is 0.03 eV/f.u.

a b c (Å): 7.2657 7.2657 6.7985
angles (deg): 90.00 90.00 90.00
Closest atoms and distances in Å follow each position.
Space group I4_1/amd (No. 141, origin choice 2)
Inequivalent atoms, fractional coordinates:
1 Li 0.0000 0.2500 0.3750 (multiplicity 4)  4 F 1.88
2 Bi 0.0000 0.2500 0.8750 (multiplicity 4)  8 F 2.34-2.45
3 F 0.0000 0.0680 0.1784 (multiplicity 16)  1 Li 1.88

[7]
A plane-wave DFT calculation with PBE was carried out for LiBiF4 after structural relaxation.

Computed properties:
Its uncorrected formation energy is -15.2 eV/f.u. Its total moment is 0.0 μB per formula unit. Its volume is 14.81 Å³/atom. The density of states at the Fermi level comes out at 0.00 states/eV/f.u. The value obtained for the raw total energy is -4.7546 eV/atom. The distance to the lowest polymorph of the same formula is 0.65 eV/f.u.

a b c (Å): 6.7154 7.1362 3.7086
angles (deg): 90.00 90.00 90.00
Closest atoms and distances in Å follow each position.
Space group Cmmm (No. 65)
Inequivalent atoms, fractional coordinates:
1 Li 0.0000 0.0000 0.0000 (multiplicity 2)  2 F 1.95
2 Bi 0.0000 0.5000 0.5000 (multiplicity 2)  6 F 2.24-2.33
3 F 0.0000 0.1864 0.5000 (multiplicity 4)  1 Bi 2.24, 2 Li 2.28
4 F 0.2098 0.5000 0.0000 (multiplicity 4)  1 Li 1.95

[8]
A plane-wave DFT calculation with PBE was carried out for LiMgBi2F after structural relaxation.

Computed properties:
Its uncorrected formation energy is -4.1 eV/f.u. Its total moment is 0.0 μB per formula unit. Its volume is 22.90 Å³/atom. The density of states at the Fermi level comes out at 2.31 states/eV/f.u. The value obtained for the raw total energy is -3.4449 eV/atom.

a b c (Å): 5.7246 5.7246 3.4942
angles (deg): 90.00 90.00 90.00
Closest atoms and distances in Å follow each position.
Space group P4/mmm (No. 123)
Inequivalent atoms, fractional coordinates:
1 Li 0.0000 0.0000 0.0000 (multiplicity 1)  2 F 1.75
2 Mg 0.5000 0.5000 0.0000 (multiplicity 1)  8 Bi 3.35, 2 Mg 3.49
3 Bi 0.0000 0.5000 0.5000 (multiplicity 2)  2 F 2.86
4 F 0.0000 0.0000 0.5000 (multiplicity 1)  2 Li 1.75